# 1
Below is a relaxed structure of Rb2HgPAu, with properties calculated at the PBE level.

Unit cell a=6.693 b=6.693 c=4.554 alpha=90.00 beta=90.00 gamma=90.00
Space group P4/mmm (No. 123)
Asymmetric unit:
Rb 0.000 0.500 0.000 [2 per cell]
Hg 0.000 0.000 0.500 [1 per cell]
P 0.500 0.500 0.500 [1 per cell]
Au 0.500 0.500 0.000 [1 per cell]

Summary:
Spin magnetization   0.00 μB/atom
ΔH_f (0 K)   -0.199 eV/atom
Excess energy over the best structure of this formula in the dataset   30 meV per atom
Raw total energy   -11.92 eV per formula unit



# 2
Below is a relaxed structure of Rb2LiSe2, with properties calculated at the PBE level.

Unit cell a=3.743 b=3.743 c=15.462 alpha=90.00 beta=90.00 gamma=90.00
Space group P4/mmm (No. 123)
Asymmetric unit:
Rb 0.000 0.000 0.145 [2 per cell]
Li 0.000 0.000 0.500 [1 per cell]
Se 0.000 0.000 0.345 [2 per cell]

Summary:
Spin magnetization   0.00 μB/atom
ΔE_f (raw)   -0.049 eV per atom
Excess energy over the best structure of this formula in the dataset   727 meV per atom
Raw total energy   -11.06 eV per formula unit